(1)
The following is a SCAN calculation of a crystal of Li2AgRh relaxed with PBEsol, from the Alexandria database.

a = 2.668 Å, b = 2.668 Å, c = 7.854 Å
α = 90.00°, β = 90.00°, γ = 90.00°
Element x y z (fractional)
1 Li 0.000 0.000 0.233
2 Li 0.000 0.000 0.767
3 Ag 0.500 0.500 0.500
4 Rh 0.500 0.500 0.000

Properties
The value obtained for the spin magnetization is 0.64 μB/cell. The formation energy comes out at -113.5 meV per atom.

---

(2)
The following is a SCAN calculation of a crystal of Li2AgRh relaxed with PBEsol, from the Alexandria database.

a = 4.632 Å, b = 4.632 Å, c = 4.632 Å
α = 131.13°, β = 131.13°, γ = 71.60°
Element x y z (fractional)
1 Li 0.250 0.750 0.500
2 Li 0.750 0.250 0.500
3 Ag 0.000 0.000 0.000
4 Rh 0.500 0.500 0.000

Properties
The value obtained for the spin magnetization is 0.00 μB/cell. The formation energy comes out at -72.6 meV per atom.

---

(3)
The following is a SCAN calculation of a crystal of Li2AgRh relaxed with PBEsol, from the Alexandria database.

a = 8.959 Å, b = 8.959 Å, c = 8.959 Å
α = 17.48°, β = 17.48°, γ = 17.48°
Element x y z (fractional)
1 Li 0.244 0.244 0.244
2 Li 0.756 0.756 0.756
3 Ag 0.000 0.000 0.000
4 Rh 0.500 0.500 0.500

Properties
The value obtained for the spin magnetization is 0.25 μB/cell. The formation energy comes out at -163.2 meV per atom.

---

(4)
The following is a SCAN calculation of a crystal of Li2AgRh relaxed with PBEsol, from the Alexandria database.

a = 2.639 Å, b = 4.302 Å, c = 4.962 Å
α = 90.00°, β = 93.67°, γ = 90.00°
Element x y z (fractional)
1 Li 0.218 0.000 0.229
2 Li 0.782 0.000 0.771
3 Ag 0.000 0.500 0.500
4 Rh 0.500 0.500 0.000

Properties
The value obtained for the spin magnetization is 0.49 μB/cell. The formation energy comes out at -117.8 meV per atom.

---

(5)
The following is a SCAN calculation of a crystal of Li2AgRh relaxed with PBEsol, from the Alexandria database.

a = 2.705 Å, b = 2.705 Å, c = 8.329 Å
α = 90.00°, β = 90.00°, γ = 90.00°
Element x y z (fractional)
1 Li 0.000 0.000 0.000
2 Li 0.500 0.500 0.302
3 Ag 0.500 0.500 0.764
4 Rh 0.000 0.000 0.515

Properties
The value obtained for the spin magnetization is 0.69 μB/cell. The formation energy comes out at 5.5 meV per atom.

---

(6)
The following is a SCAN calculation of a crystal of LiZnAg2Rh relaxed with PBEsol, from the Alexandria database.

a = 4.619 Å, b = 4.619 Å, c = 4.189 Å
α = 90.00°, β = 90.00°, γ = 90.00°
Element x y z (fractional)
1 Li 0.000 0.000 0.000
2 Zn 0.000 0.000 0.500
3 Ag 0.000 0.500 0.500
4 Ag 0.500 0.000 0.500
5 Rh 0.500 0.500 0.000

Properties
The value obtained for the spin magnetization is 0.95 μB/cell. The formation energy comes out at 760.4 meV per atom.

---

(7)
The following is a SCAN calculation of a crystal of LiAgRu3 relaxed with PBEsol, from the Alexandria database.

a = 4.784 Å, b = 4.784 Å, c = 4.784 Å
α = 90.00°, β = 90.00°, γ = 90.00°
Element x y z (fractional)
1 Li 0.000 0.000 0.000
2 Ag 0.500 0.500 0.500
3 Ru 0.000 0.500 0.500
4 Ru 0.500 0.000 0.500
5 Ru 0.500 0.500 0.000

Properties
The value obtained for the spin magnetization is 7.12 μB/cell. The formation energy comes out at 2213.2 meV per atom.

---

(8)
The following is a SCAN calculation of a crystal of LiAg2Ru relaxed with PBEsol, from the Alexandria database.

a = 4.866 Å, b = 4.866 Å, c = 4.898 Å
α = 97.39°, β = 97.39°, γ = 31.40°
Element x y z (fractional)
1 Li 0.000 0.000 0.000
2 Ag 0.503 0.503 0.518
3 Ag 0.752 0.752 0.235
4 Ru 0.249 0.249 0.739

Properties
The value obtained for the spin magnetization is 0.00 μB/cell. The formation energy comes out at 240.9 meV per atom.

---

no.,calculated total energy (eV per atom)
1,-17.593
2,-17.552
3,-17.643
4,-17.597
5,-17.474
6,-21.722
7,-25.434
8,-24.747